[1]
Here is a geometry-optimized BeIn2As structure from Alexandria via LeMat-Bulk. Energies are from PBE-GGA.

Computed properties:
E_form = 459 meV per atom

a b c (Å): 4.797 4.797 3.681
angles (deg): 90.00 90.00 100.97
Positions (direct):
In (0.500, 0.500, 0.000)
In (0.000, 0.000, 0.000)
Be (0.000, 0.500, 0.500)
As (0.500, 0.000, 0.500)

=====

[2]
Here is a geometry-optimized BeIn2As structure from Alexandria via LeMat-Bulk. Energies are from PBE-GGA.

Computed properties:
E_form = 135 meV per atom

a b c (Å): 4.503 4.503 6.556
angles (deg): 68.28 68.28 48.75
Positions (direct):
Be (0.168, 0.168, 0.253)
As (0.601, 0.601, 0.451)
In (0.789, 0.789, 0.726)
In (0.942, 0.942, 0.071)